P | Density functional theory data (SCAN) for Ca3N2 at its PBEsol-relaxed geometry.

a = 7.673 Å, b = 7.673 Å, c = 9.250 Å
α = 100.20°, β = 100.20°, γ = 28.15°
Fractional positions:
Ca  0.000  0.000  0.000
Ca  0.031  0.031  0.660
Ca  0.290  0.290  0.378
Ca  0.328  0.328  0.035
Ca  0.374  0.374  0.721
Ca  0.626  0.626  0.279
Ca  0.672  0.672  0.965
Ca  0.710  0.710  0.622
Ca  0.969  0.969  0.340
N  0.141  0.141  0.488
N  0.183  0.183  0.131
N  0.469  0.469  0.187
N  0.531  0.531  0.813
N  0.817  0.817  0.869
N  0.859  0.859  0.512

## Properties
Symmetry   C2/m, No. 12
Calculated volume   252.62 Å³/cell

***

Q | Density functional theory data (SCAN) for Ca3N2 at its PBEsol-relaxed geometry.

a = 8.853 Å, b = 6.142 Å, c = 6.285 Å
α = 90.00°, β = 90.00°, γ = 90.00°
Fractional positions:
Ca  0.000  0.045  0.250
Ca  0.000  0.955  0.750
Ca  0.153  0.393  0.605
Ca  0.153  0.607  0.105
Ca  0.347  0.107  0.105
Ca  0.347  0.893  0.605
Ca  0.500  0.455  0.750
Ca  0.500  0.545  0.250
Ca  0.653  0.107  0.395
Ca  0.653  0.893  0.895
Ca  0.847  0.393  0.895
Ca  0.847  0.607  0.395
N  0.112  0.247  0.968
N  0.112  0.753  0.468
N  0.388  0.253  0.468
N  0.388  0.747  0.968
N  0.612  0.253  0.032
N  0.612  0.747  0.532
N  0.888  0.247  0.532
N  0.888  0.753  0.032

## Properties
Symmetry   Pbcn, No. 60
Calculated volume   341.72 Å³/cell

***

R | Density functional theory data (SCAN) for Ca3N2 at its PBEsol-relaxed geometry.

a = 9.815 Å, b = 9.815 Å, c = 9.815 Å
α = 109.47°, β = 109.47°, γ = 109.47°
Fractional positions:
Ca  0.007  0.044  0.272
Ca  0.037  0.493  0.765
Ca  0.044  0.272  0.007
Ca  0.228  0.272  0.735
Ca  0.228  0.456  0.463
Ca  0.235  0.963  0.507
Ca  0.265  0.772  0.728
Ca  0.272  0.007  0.044
Ca  0.272  0.735  0.228
Ca  0.456  0.463  0.228
Ca  0.463  0.228  0.456
Ca  0.493  0.765  0.037
Ca  0.507  0.235  0.963
Ca  0.537  0.772  0.544
Ca  0.544  0.537  0.772
Ca  0.728  0.265  0.772
Ca  0.728  0.993  0.956
Ca  0.735  0.228  0.272
Ca  0.765  0.037  0.493
Ca  0.772  0.544  0.537
Ca  0.772  0.728  0.265
Ca  0.956  0.728  0.993
Ca  0.963  0.507  0.235
Ca  0.993  0.956  0.728
N  0.000  0.000  0.500
N  0.000  0.500  0.000
N  0.040  0.750  0.790
N  0.210  0.960  0.250
N  0.250  0.210  0.960
N  0.250  0.710  0.460
N  0.290  0.540  0.750
N  0.460  0.250  0.710
N  0.500  0.000  0.000
N  0.500  0.500  0.500
N  0.540  0.750  0.290
N  0.710  0.460  0.250
N  0.750  0.290  0.540
N  0.750  0.790  0.040
N  0.790  0.040  0.750
N  0.960  0.250  0.210

## Properties
Symmetry   Ia-3, No. 206
Calculated volume   727.88 Å³/cell

***

The structures above, arranged from the most stable to the least stable: R, Q, P.